Compound: MnVZnTc
Source: Alexandria via LeMat-Bulk
Functional: PBE
Structure: optimized geometry

mass density	8.19	g/cm³
calculated total energy	-7.52	eV/atom

Cell: 6.0229 6.0229 6.0229 Å, 90.00 90.00 90.00°
Space group F-43m (No. 216)
Asymmetric unit:
Mn 0.0000 0.0000 0.0000
V 0.2500 0.2500 0.2500
Zn 0.2500 0.2500 0.7500
Tc 0.0000 0.0000 0.5000